w:
## CaSc2Ga2 (PBE)

Data for a relaxed CaSc2Ga2 crystal.

Structure (POSCAR):
```
CaSc2Ga2
1.0
-2.515 2.515 5.156
2.515 -2.515 5.156
2.515 2.515 -5.156
Ca Sc Ga
1 2 2
direct
0.000 0.000 0.000
0.342 0.342 0.000
0.658 0.658 0.000
0.250 0.750 0.500
0.750 0.250 0.500
```


x:
## CaSc2Ga2 (PBE)

Data for a relaxed CaSc2Ga2 crystal.

Structure (POSCAR):
```
CaSc2Ga2
1.0
-2.205 2.205 6.168
2.205 -2.205 6.168
2.205 2.205 -6.168
Ca Sc Ga
1 2 2
direct
0.000 0.000 0.000
0.250 0.750 0.500
0.750 0.250 0.500
0.398 0.398 0.000
0.602 0.602 0.000
```


The structure with the least stability is w.


w:
## Ca2GaSe (PBE)

Data for a relaxed Ca2GaSe crystal.

Structure (POSCAR):
```
Ca2GaSe
1.0
-3.955 3.955 3.768
3.955 -3.955 3.768
3.955 3.955 -3.768
Ca Ga Se
4 2 2
direct
0.103 0.125 0.478
0.375 0.897 0.022
0.647 0.625 0.522
0.875 0.353 0.978
0.250 0.750 0.500
0.500 0.500 0.000
0.000 0.000 0.000
0.750 0.250 0.500
```


x:
## Ca2GaSe (PBE)

Data for a relaxed Ca2GaSe crystal.

Structure (POSCAR):
```
Ca2GaSe
1.0
0.000 3.698 3.698
3.698 0.000 3.698
3.698 3.698 0.000
Ca Ga Se
2 1 1
direct
0.250 0.250 0.250
0.750 0.750 0.750
0.000 0.000 0.000
0.500 0.500 0.500
```


y:
## Ca2GaSe (PBE)

Data for a relaxed Ca2GaSe crystal.

Structure (POSCAR):
```
Ca2GaSe
1.0
2.009 1.160 8.046
-2.009 1.160 8.046
0.000 -2.319 8.046
Ca Ga Se
2 1 1
direct
0.240 0.240 0.240
0.760 0.760 0.760
0.000 0.000 0.000
0.500 0.500 0.500
```


The structure with the least stability is x.


w:
## CaGaSe3 (PBE)

Data for a relaxed CaGaSe3 crystal.

Structure (POSCAR):
```
CaGaSe3
1.0
5.034 0.000 0.000
0.000 5.034 0.000
0.000 0.000 5.034
Ca Ga Se
1 1 3
direct
0.000 0.000 0.000
0.500 0.500 0.500
0.000 0.500 0.500
0.500 0.000 0.500
0.500 0.500 0.000
```


x:
## CaGaSe3 (PBE)

Data for a relaxed CaGaSe3 crystal.

Structure (POSCAR):
```
CaGaSe3
1.0
5.559 0.000 0.000
0.000 5.559 0.000
0.000 0.000 5.559
Ca Ga Se
1 1 3
direct
0.000 0.000 0.000
0.500 0.500 0.500
0.000 0.000 0.500
0.000 0.500 0.000
0.500 0.000 0.000
```


The structure with the least stability is x.


w:
## CaGaSi3 (PBE)

Data for a relaxed CaGaSi3 crystal.

Structure (POSCAR):
```
CaGaSi3
1.0
4.868 0.000 0.000
0.000 4.868 0.000
0.000 0.000 4.868
Ca Ga Si
1 1 3
direct
0.000 0.000 0.000
0.500 0.500 0.500
0.000 0.500 0.500
0.500 0.000 0.500
0.500 0.500 0.000
```


x:
## CaGaSi3 (PBE)

Data for a relaxed CaGaSi3 crystal.

Structure (POSCAR):
```
CaGaSi3
1.0
5.326 0.000 0.000
0.000 5.326 0.000
0.000 0.000 5.326
Ca Ga Si
1 1 3
direct
0.000 0.000 0.000
0.500 0.500 0.500
0.000 0.000 0.500
0.000 0.500 0.000
0.500 0.000 0.000
```


The structure with the least stability is x.


w:
## CaSm3Ga2 (PBE)

Data for a relaxed CaSm3Ga2 crystal.

Structure (POSCAR):
```
CaSm3Ga2
1.0
5.196 0.000 0.000
0.000 9.339 0.000
0.000 0.000 6.763
Ca Sm Ga
2 6 4
direct
0.000 0.042 0.000
0.000 0.958 0.500
0.000 0.326 0.683
0.000 0.674 0.183
0.500 0.168 0.289
0.500 0.460 0.977
0.500 0.540 0.477
0.500 0.832 0.789
0.000 0.346 0.216
0.000 0.654 0.716
0.500 0.159 0.754
0.500 0.841 0.254
```


x:
## CaSm3Ga2 (PBE)

Data for a relaxed CaSm3Ga2 crystal.

Structure (POSCAR):
```
CaSm3Ga2
1.0
8.343 -2.610 0.000
8.343 2.610 0.000
-0.944 0.000 7.797
Ca Sm Ga
2 6 4
direct
0.162 0.162 0.281
0.838 0.838 0.719
0.052 0.052 0.812
0.324 0.324 0.006
0.376 0.376 0.461
0.624 0.624 0.539
0.676 0.676 0.994
0.948 0.948 0.188
0.214 0.214 0.682
0.471 0.471 0.829
0.529 0.529 0.171
0.786 0.786 0.318
```


The structure with the least stability is x.


w:
## Ca2GaSn2 (PBE)

Data for a relaxed Ca2GaSn2 crystal.

Structure (POSCAR):
```
Ca2GaSn2
1.0
7.596 0.000 0.000
0.000 7.596 0.000
0.000 0.000 4.821
Ca Ga Sn
4 2 4
direct
0.169 0.331 0.000
0.331 0.831 0.000
0.669 0.169 0.000
0.831 0.669 0.000
0.000 0.000 0.500
0.500 0.500 0.500
0.138 0.638 0.500
0.362 0.138 0.500
0.638 0.862 0.500
0.862 0.362 0.500
```


x:
## Ca2GaSn2 (PBE)

Data for a relaxed Ca2GaSn2 crystal.

Structure (POSCAR):
```
Ca2GaSn2
1.0
5.826 -2.350 0.000
5.826 2.350 0.000
-4.661 0.000 10.006
Ca Ga Sn
4 2 4
direct
0.008 0.008 0.175
0.178 0.178 0.610
0.822 0.822 0.390
0.992 0.992 0.825
0.307 0.307 0.166
0.693 0.693 0.834
0.346 0.346 0.931
0.457 0.457 0.609
0.543 0.543 0.391
0.654 0.654 0.069
```


The structure with the least stability is w.


w:
## Ca2GaSn2 (PBE)

Data for a relaxed Ca2GaSn2 crystal.

Structure (POSCAR):
```
Ca2GaSn2
1.0
8.412 0.000 0.000
0.000 8.412 0.000
0.000 0.000 4.210
Ca Ga Sn
4 2 4
direct
0.175 0.325 0.000
0.325 0.825 0.000
0.675 0.175 0.000
0.825 0.675 0.000
0.000 0.000 0.000
0.500 0.500 0.000
0.124 0.624 0.500
0.376 0.124 0.500
0.624 0.876 0.500
0.876 0.376 0.500
```


x:
## Ca2GaSn2 (PBE)

Data for a relaxed Ca2GaSn2 crystal.

Structure (POSCAR):
```
Ca2GaSn2
1.0
2.339 -8.627 0.000
2.339 8.627 0.000
0.000 0.000 7.103
Ca Ga Sn
4 2 4
direct
0.010 0.990 0.500
0.204 0.796 0.760
0.796 0.204 0.260
0.990 0.010 0.000
0.413 0.587 0.677
0.587 0.413 0.177
0.169 0.831 0.259
0.426 0.574 0.271
0.574 0.426 0.771
0.831 0.169 0.759
```


The structure with the least stability is w.


w:
## Ca3GaSn (PBE)

Data for a relaxed Ca3GaSn crystal.

Structure (POSCAR):
```
Ca3GaSn
1.0
8.167 0.000 0.000
0.000 8.156 0.000
-5.481 0.000 8.959
Ca Ga Sn
12 4 4
direct
0.099 0.097 0.269
0.099 0.403 0.769
0.347 0.065 0.691
0.347 0.435 0.191
0.388 0.741 0.446
0.388 0.759 0.946
0.612 0.241 0.054
0.612 0.259 0.554
0.653 0.565 0.809
0.653 0.935 0.309
0.901 0.597 0.231
0.901 0.903 0.731
0.253 0.088 0.018
0.253 0.412 0.518
0.747 0.588 0.482
0.747 0.912 0.982
0.114 0.731 0.573
0.114 0.769 0.073
0.886 0.231 0.927
0.886 0.269 0.427
```


x:
## Ca3GaSn (PBE)

Data for a relaxed Ca3GaSn crystal.

Structure (POSCAR):
```
Ca3GaSn
1.0
5.628 0.000 0.000
0.000 5.628 0.000
0.000 0.000 5.628
Ca Ga Sn
3 1 1
direct
0.000 0.000 0.500
0.000 0.500 0.000
0.500 0.000 0.000
0.000 0.000 0.000
0.500 0.500 0.500
```


The structure with the least stability is x.


w:
## Ca2GaSn (PBE)

Data for a relaxed Ca2GaSn crystal.

Structure (POSCAR):
```
Ca2GaSn
1.0
3.773 0.000 0.000
0.000 3.773 0.000
0.000 0.000 7.491
Ca Ga Sn
2 1 1
direct
0.000 0.000 0.239
0.000 0.000 0.761
0.500 0.500 0.000
0.500 0.500 0.500
```


x:
## Ca2GaSn (PBE)

Data for a relaxed Ca2GaSn crystal.

Structure (POSCAR):
```
Ca2GaSn
1.0
-4.163 4.163 3.447
4.163 -4.163 3.447
4.163 4.163 -3.447
Ca Ga Sn
4 2 2
direct
0.111 0.625 0.986
0.375 0.361 0.486
0.639 0.125 0.014
0.875 0.889 0.514
0.000 0.000 0.000
0.750 0.250 0.500
0.250 0.750 0.500
0.500 0.500 0.000
```


The structure with the least stability is x.


w:
## Ca2GaSn (PBE)

Data for a relaxed Ca2GaSn crystal.

Structure (POSCAR):
```
Ca2GaSn
1.0
4.380 0.000 0.000
0.000 2.300 5.702
0.000 -2.300 5.702
Ca Ga Sn
2 1 1
direct
0.000 0.000 0.000
0.500 0.278 0.278
0.500 0.559 0.559
0.000 0.712 0.712
```


x:
## Ca2GaSn (PBE)

Data for a relaxed Ca2GaSn crystal.

Structure (POSCAR):
```
Ca2GaSn
1.0
1.835 1.060 10.852
-1.835 1.060 10.852
0.000 -2.119 10.852
Ca Ga Sn
2 1 1
direct
0.098 0.098 0.098
0.902 0.902 0.902
0.500 0.500 0.500
0.000 0.000 0.000
```


y:
## Ca2GaSn (PBE)

Data for a relaxed Ca2GaSn crystal.

Structure (POSCAR):
```
Ca2GaSn
1.0
0.000 3.774 3.774
3.774 0.000 3.774
3.774 3.774 0.000
Ca Ga Sn
2 1 1
direct
0.250 0.250 0.250
0.750 0.750 0.750
0.000 0.000 0.000
0.500 0.500 0.500
```


The structure with the least stability is x.


w:
## CaGa3Sn (PBE)

Data for a relaxed CaGa3Sn crystal.

Structure (POSCAR):
```
CaGa3Sn
1.0
5.482 0.000 0.000
0.000 5.482 0.000
0.000 0.000 5.482
Ca Ga Sn
1 3 1
direct
0.000 0.000 0.000
0.000 0.000 0.500
0.000 0.500 0.000
0.500 0.000 0.000
0.500 0.500 0.500
```


x:
## CaGa3Sn (PBE)

Data for a relaxed CaGa3Sn crystal.

Structure (POSCAR):
```
CaGa3Sn
1.0
5.338 0.000 0.000
0.000 5.338 0.000
0.000 0.000 5.338
Ca Ga Sn
1 3 1
direct
0.000 0.000 0.000
0.000 0.500 0.500
0.500 0.000 0.500
0.500 0.500 0.000
0.500 0.500 0.500
```


The structure with the least stability is w.